# Th3CuSn3 PBE relaxed
# Fermi-level density of states: 0.70 states/eV/atom
# ΔH_f (0 K): -338 kJ/mol of formula units
# Crystal system: monoclinic
data_Th3CuSn3
_chemical_formula_sum 'Th12 Cu4 Sn12'
_symmetry_space_group_name_H-M 'C 1 2/m 1'
_symmetry_Int_Tables_number 12
_symmetry_space_group_name_Hall '-C 2y'
_cell_length_a 11.6554
_cell_length_b 4.4547
_cell_length_c 15.4939
_cell_angle_alpha 90.00
_cell_angle_beta 108.89
_cell_angle_gamma 90.00
loop_
_atom_site_label
_atom_site_type_symbol
_atom_site_fract_x
_atom_site_fract_y
_atom_site_fract_z
_atom_site_occupancy
Th1 Th 0.0195 0.0000 0.3852 1
Th2 Th 0.1027 0.0000 0.9198 1
Th3 Th 0.2409 0.0000 0.2341 1
Cu1 Cu 0.2254 0.5000 0.3849 1
Sn1 Sn 0.0210 0.5000 0.2373 1
Sn2 Sn 0.1244 0.5000 0.0775 1
Sn3 Sn 0.1557 0.5000 0.5445 1